[1]
Here is PuSnRh2 after structural relaxation from Alexandria. Energies are from PBE-GGA.

The space group is P4/mmm (No. 123) and the conventional cell measures 4.6705, 4.6705 and 3.4482 Å, with angles of 90.00, 90.00 and 90.00 degrees. Symmetry generates all atoms from Pu at (0.0000, 0.0000, 0.0000), Sn at (0.5000, 0.5000, 0.0000) and Rh at (0.0000, 0.5000, 0.5000).

As for the crystal system: tetragonal. Its formation energy is -0.4494 eV/atom.

[2]
Here is NdTaBeN3 after structural relaxation from Alexandria. Energies are from PBE-GGA.

The space group is P2_1/m (No. 11) and the conventional cell measures 6.8453, 3.1766 and 6.9268 Å, with angles of 90.00, 105.84 and 90.00 degrees. Symmetry generates all atoms from Nd at (0.1961, 0.2500, 0.2239), Ta at (0.3366, 0.7500, 0.8367), Be at (0.0798, 0.2500, 0.6003), N at (0.1218, 0.2500, 0.8559), N at (0.1735, 0.7500, 0.5306) and N at (0.4515, 0.7500, 0.1623).

As for the crystal system: monoclinic. The total energy is -8.73 eV/atom.

[3]
Here is Rb3AgPb2Br9 after structural relaxation from Alexandria. Energies are from PBE-GGA.

The space group is P-3m1 (No. 164) and the conventional cell measures 8.1415, 8.1415 and 10.0255 Å, with angles of 90.00, 90.00 and 120.00 degrees. Symmetry generates all atoms from Rb at (0.0000, 0.0000, 0.0000), Rb at (0.3333, 0.6667, 0.6505), Ag at (0.0000, 0.0000, 0.5000), Pb at (0.3333, 0.6667, 0.1805), Br at (0.0000, 0.5000, 0.0000) and Br at (0.1616, 0.3232, 0.3411).

As for the crystal system: trigonal. The total energy is -2.98 eV/atom.

[4]
Here is Co2OsPdS after structural relaxation from Alexandria. Energies are from PBE-GGA.

The space group is P4/mmm (No. 123) and the conventional cell measures 4.6573, 4.6573 and 4.2915 Å, with angles of 90.00, 90.00 and 90.00 degrees. Symmetry generates all atoms from Co at (0.0000, 0.5000, 0.0000), Os at (0.0000, 0.0000, 0.0000), Pd at (0.5000, 0.5000, 0.5000) and S at (0.0000, 0.0000, 0.5000).

As for the crystal system: tetragonal. The total energy is -5.79 eV/atom.

[5]
Here is AcYEr3 after structural relaxation from Alexandria. Energies are from PBE-GGA.

The space group is C2/m (No. 12) and the conventional cell measures 18.0954, 4.9073 and 8.5847 Å, with angles of 90.00, 111.92 and 90.00 degrees. Symmetry generates all atoms from Ac at (0.1147, 0.0000, 0.1502), Y at (0.1867, 0.5000, 0.8882), Er at (0.0559, 0.0000, 0.6954), Er at (0.0850, 0.5000, 0.4477) and Er at (0.2268, 0.0000, 0.6262).

As for the crystal system: monoclinic. Its formation energy is 0.1607 eV/atom.

[6]
Here is Pa2Tc4Ge2C after structural relaxation from Alexandria. Energies are from PBE-GGA.

The space group is I4/mmm (No. 139) and the conventional cell measures 6.0038, 6.0038 and 8.2119 Å, with angles of 90.00, 90.00 and 90.00 degrees. Symmetry generates all atoms from Pa at (0.0000, 0.0000, 0.2248), Tc at (0.2491, 0.2491, 0.0000), Ge at (0.0000, 0.5000, 0.2500) and C at (0.0000, 0.0000, 0.5000).

As for the crystal system: tetragonal. Its formation energy is -0.1167 eV/atom.

[7]
Here is Er8Ag2Te after structural relaxation from Alexandria. Energies are from PBE-GGA.

The space group is C2/m (No. 12) and the conventional cell measures 8.5591, 13.6118 and 5.6393 Å, with angles of 90.00, 107.71 and 90.00 degrees. Symmetry generates all atoms from Er at (0.0000, 0.2378, 0.0000), Er at (0.1019, 0.5000, 0.8008), Er at (0.2070, 0.1191, 0.6120), Ag at (0.0000, 0.3037, 0.5000) and Te at (0.0000, 0.0000, 0.0000).

As for the crystal system: monoclinic. The total energy is -4.28 eV/atom.

[8]
Here is LiNd4Dy4 after structural relaxation from Alexandria. Energies are from PBE-GGA.

The space group is I222 (No. 23) and the conventional cell measures 6.3420, 7.9406 and 11.5446 Å, with angles of 90.00, 90.00 and 90.00 degrees. Symmetry generates all atoms from Li at (0.0000, 0.0000, 0.0000), Nd at (0.0000, 0.0000, 0.5000), Nd at (0.0000, 0.3200, 0.0000), Nd at (0.0000, 0.5000, 0.5000) and Dy at (0.2379, 0.1369, 0.7551).

As for the crystal system: orthorhombic. Its formation energy is 0.3090 eV/atom.

[9]
Here is ZrSb2S2 after structural relaxation from Alexandria. Energies are from PBE-GGA.

The space group is P4/mbm (No. 127) and the conventional cell measures 7.6418, 7.6418 and 4.3557 Å, with angles of 90.00, 90.00 and 90.00 degrees. Symmetry generates all atoms from Zr at (0.0000, 0.0000, 0.0000), Sb at (0.1443, 0.3557, 0.0000) and S at (0.2240, 0.7240, 0.5000).

As for the crystal system: tetragonal. The total energy is -4.95 eV/atom.

[10]
Here is BaAlIr after structural relaxation from Alexandria. Energies are from PBE-GGA.

The space group is P1 (No. 1) and the conventional cell measures 3.2049, 3.5932 and 6.5396 Å, with angles of 74.15, 75.88 and 89.98 degrees. Symmetry generates all atoms from Ba at (0.0000, 0.0000, 0.0000), Al at (0.2743, 0.2738, 0.4532) and Ir at (0.7024, 0.7015, 0.5979).

As for the crystal system: triclinic. Its formation energy is -0.2510 eV/atom.

[11]
Here is Be2InAs after structural relaxation from Alexandria. Energies are from PBE-GGA.

The space group is Cm (No. 8) and the conventional cell measures 6.9727, 3.4792 and 5.8084 Å, with angles of 90.00, 107.64 and 90.00 degrees. Symmetry generates all atoms from Be at (0.0000, 0.0000, 0.0000), Be at (0.2294, 0.5000, 0.0921), In at (0.2194, 0.0000, 0.7007) and As at (0.4819, 0.0000, 0.2680).

As for the crystal system: monoclinic. Its formation energy is 0.2422 eV/atom.

[12]
Here is AlSiSe after structural relaxation from Alexandria. Energies are from PBE-GGA.

The space group is Imm2 (No. 44) and the conventional cell measures 3.8540, 14.0144 and 4.9793 Å, with angles of 90.00, 90.00 and 90.00 degrees. Symmetry generates all atoms from Al at (0.0000, 0.1479, 0.0000), Si at (0.0000, 0.0000, 0.2634), Si at (0.0000, 0.5000, 0.0557) and Se at (0.0000, 0.3157, 0.1980).

As for the crystal system: orthorhombic. The total energy is -4.42 eV/atom.

Please write out number 9 again, unchanged.
Here is ZrSb2S2 after structural relaxation from Alexandria. Energies are from PBE-GGA.

The space group is P4/mbm (No. 127) and the conventional cell measures 7.6418, 7.6418 and 4.3557 Å, with angles of 90.00, 90.00 and 90.00 degrees. Symmetry generates all atoms from Zr at (0.0000, 0.0000, 0.0000), Sb at (0.1443, 0.3557, 0.0000) and S at (0.2240, 0.7240, 0.5000).

As for the crystal system: tetragonal. The total energy is -4.95 eV/atom.